A plane-wave DFT calculation with PBE was carried out for a geometry-optimized BaPa4Rh3S12 structure. Values from VASP.

The structure in Quantum ESPRESSO input format:
```
&SYSTEM
  ibrav = 0, nat = 20, ntyp = 4
/
ATOMIC_SPECIES
S 32.06 S.upf
Ba 137.33 Ba.upf
Rh 102.91 Rh.upf
Pa 231.04 Pa.upf
ATOMIC_POSITIONS angstrom
S 4.169 2.342 3.891
S -1.932 -0.516 5.831
S 4.024 -1.369 4.465
S 6.599 1.411 1.133
S 3.278 0.030 1.021
S 4.937 -3.331 1.590
S 1.540 -4.128 5.235
S 0.643 2.265 2.500
S 0.498 -1.447 3.074
S 3.127 5.024 1.729
S 1.389 0.866 5.944
S -0.271 4.227 5.374
Ba 0.000 0.000 0.000
Rh 4.492 1.869 0.152
Rh -1.236 2.654 3.889
Rh 1.410 -3.627 2.924
Pa 3.569 -2.207 -0.406
Pa -2.159 -1.421 3.330
Pa 0.923 4.075 0.558
Pa 2.333 0.448 3.482
CELL_PARAMETERS angstrom
-4.318 -2.842 6.661
7.138 -4.413 -0.813
1.847 8.151 1.117
```

**Space group**: Im-3, No. 204
**Raw formation energy**: -1.20 eV/atom
**Calculated density**: 6316 kg/m3
**M_tot**: 0.00 μB per formula unit

=====

A plane-wave DFT calculation with PBE was carried out for a geometry-optimized Mg7SiPd4 structure. Values from VASP.

The structure in Quantum ESPRESSO input format:
```
&SYSTEM
  ibrav = 0, nat = 12, ntyp = 3
/
ATOMIC_SPECIES
Mg 24.30 Mg.upf
Si 28.09 Si.upf
Pd 106.42 Pd.upf
ATOMIC_POSITIONS angstrom
Mg 5.112 1.053 7.778
Mg 0.828 2.295 5.112
Mg 3.302 1.692 10.144
Mg 2.638 1.656 2.746
Mg -0.534 1.718 1.659
Mg 3.827 4.141 7.777
Mg 2.113 -0.793 5.113
Si 0.000 0.000 0.000
Pd 0.191 0.102 3.567
Pd 5.748 3.246 9.323
Pd 2.618 0.408 7.643
Pd 3.322 2.940 5.247
CELL_PARAMETERS angstrom
-1.069 3.437 3.318
1.132 -2.869 6.947
5.876 2.780 2.625
```

**Space group**: C2/m, No. 12
**Raw formation energy**: -0.30 eV/atom
**Calculated density**: 4601 kg/m3
**M_tot**: 0.00 μB per formula unit

=====

A plane-wave DFT calculation with PBE was carried out for a geometry-optimized ZrNi3Ag structure. Values from VASP.

The structure in Quantum ESPRESSO input format:
```
&SYSTEM
  ibrav = 0, nat = 5, ntyp = 3
/
ATOMIC_SPECIES
Ni 58.69 Ni.upf
Ag 107.87 Ag.upf
Zr 91.22 Zr.upf
ATOMIC_POSITIONS angstrom
Ni 0.000 0.000 2.296
Ni 2.296 0.000 0.000
Ni 0.000 2.296 0.000
Ag 2.296 2.296 2.296
Zr 0.000 0.000 0.000
CELL_PARAMETERS angstrom
4.593 0.000 0.000
0.000 4.593 0.000
0.000 0.000 4.593
```

**Space group**: Pm-3m, No. 221
**Relative energy among the computed polymorphs**: 67 meV per atom
**Calculated density**: 6430 kg/m3
**M_tot**: 0.00 μB per formula unit

=====

A plane-wave DFT calculation with PBE was carried out for a geometry-optimized Ta2Al2Ir structure. Values from VASP.

The structure in Quantum ESPRESSO input format:
```
&SYSTEM
  ibrav = 0, nat = 5, ntyp = 3
/
ATOMIC_SPECIES
Al 26.98 Al.upf
Ta 180.95 Ta.upf
Ir 192.22 Ir.upf
ATOMIC_POSITIONS angstrom
Al -7.368 -0.659 -0.905
Al -2.496 -0.865 -1.130
Ta -4.939 -1.795 -0.213
Ta -4.926 0.271 -1.822
Ir 0.000 0.000 0.000
CELL_PARAMETERS angstrom
-1.527 0.770 -3.285
-1.553 -3.362 -0.066
-6.785 1.068 1.317
```

**Space group**: I4/mmm, No. 139
**Relative energy among the computed polymorphs**: 820 meV per atom
**Calculated density**: 11353 kg/m3
**M_tot**: 0.00 μB per formula unit

=====

A plane-wave DFT calculation with PBE was carried out for a geometry-optimized Er2CdHg9 structure. Values from VASP.

The structure in Quantum ESPRESSO input format:
```
&SYSTEM
  ibrav = 0, nat = 12, ntyp = 3
/
ATOMIC_SPECIES
Er 167.26 Er.upf
Hg 200.59 Hg.upf
Cd 112.41 Cd.upf
ATOMIC_POSITIONS angstrom
Er 0.000 0.000 4.272
Er 0.000 0.000 8.837
Hg 2.341 2.341 8.707
Hg 0.000 2.341 2.155
Hg 2.341 2.341 0.000
Hg 0.000 2.341 10.954
Hg 2.341 0.000 2.155
Hg 2.341 0.000 6.555
Hg 0.000 2.341 6.555
Hg 2.341 0.000 10.954
Hg 2.341 2.341 4.402
Cd 0.000 0.000 0.000
CELL_PARAMETERS angstrom
4.682 0.000 0.000
0.000 4.682 0.000
0.000 0.000 13.110
```

**DFT total energy**: -15.079 eV per cell
**Space group**: P4/mmm, No. 123
**Calculated density**: 13012 kg/m3
**M_tot**: 0.00 μB per formula unit

=====

A plane-wave DFT calculation with PBE was carried out for a geometry-optimized Zr2Ni2Pd structure. Values from VASP.

The structure in Quantum ESPRESSO input format:
```
&SYSTEM
  ibrav = 0, nat = 10, ntyp = 3
/
ATOMIC_SPECIES
Ni 58.69 Ni.upf
Zr 91.22 Zr.upf
Pd 106.42 Pd.upf
ATOMIC_POSITIONS angstrom
Ni 4.661 6.494 1.550
Ni 2.776 0.942 1.550
Ni 6.494 2.776 1.550
Ni 0.942 4.661 1.550
Zr 2.500 6.219 0.000
Zr 4.936 1.218 0.000
Zr 6.219 4.936 0.000
Zr 1.218 2.500 0.000
Pd 3.718 3.718 0.000
Pd 0.000 0.000 0.000
CELL_PARAMETERS angstrom
7.437 0.000 0.000
0.000 7.437 0.000
0.000 0.000 3.099
```

**Space group**: P4/mbm, No. 127
**Relative energy among the computed polymorphs**: 326 meV per atom
**Calculated density**: 7872 kg/m3
**M_tot**: 0.00 μB per formula unit

=====

A plane-wave DFT calculation with PBE was carried out for a geometry-optimized CsBa2IO6 structure. Values from VASP.

The structure in Quantum ESPRESSO input format:
```
&SYSTEM
  ibrav = 0, nat = 10, ntyp = 4
/
ATOMIC_SPECIES
O 16.00 O.upf
I 126.90 I.upf
Ba 137.33 Ba.upf
Cs 132.91 Cs.upf
ATOMIC_POSITIONS angstrom
O 4.559 1.910 4.463
O 5.662 5.506 4.860
O 8.256 2.067 3.682
O 7.504 5.390 0.794
O 3.807 5.232 1.575
O 6.401 1.794 0.397
I 0.001 0.000 0.000
Ba 9.229 5.585 4.022
Ba 2.834 1.715 1.235
Cs 6.031 3.650 2.629
CELL_PARAMETERS angstrom
6.322 -0.072 -0.052
2.870 5.634 -0.052
2.870 1.736 5.360
```

**Space group**: R-3, No. 148
**Raw formation energy**: -1.66 eV/atom
**Calculated density**: 5419 kg/m3
**M_tot**: 0.00 μB per formula unit

=====

A plane-wave DFT calculation with PBE was carried out for a geometry-optimized La12Co6Si structure. Values from VASP.

The structure in Quantum ESPRESSO input format:
```
&SYSTEM
  ibrav = 0, nat = 19, ntyp = 3
/
ATOMIC_SPECIES
La 138.91 La.upf
Co 58.93 Co.upf
Si 28.09 Si.upf
ATOMIC_POSITIONS angstrom
La 6.440 1.322 2.934
La -1.312 4.916 5.093
La -2.338 5.783 -0.034
La 3.291 1.322 0.708
La 3.839 4.916 0.034
La 2.027 0.867 5.835
La 5.414 2.189 -2.193
La 3.602 3.594 3.608
La 0.811 5.783 2.193
La 2.075 6.238 -2.934
La 0.263 2.189 2.867
La 0.501 3.511 -0.708
Co -1.549 4.422 2.191
Co 0.502 6.236 -0.710
Co 3.600 0.869 3.611
Co 3.055 3.553 -2.191
Co 1.047 3.553 5.091
Co 5.651 2.683 0.710
Si 0.000 0.000 0.000
CELL_PARAMETERS angstrom
8.204 0.000 -2.901
-4.102 7.105 -2.901
0.000 0.000 8.702
```

**Space group**: Im-3, No. 204
**Raw formation energy**: -0.16 eV/atom
**Calculated density**: 6706 kg/m3
**M_tot**: 0.00 μB per formula unit